LiLaTlHg: optimized geometry, GGA-PBE.

## Properties
Electronic total energy   -2.7983 eV/atom
Density   8.78 Mg/m³

Cell: 7.469 7.469 7.469 Å, 90.00 90.00 90.00°
Space group F-43m (No. 216)
Symmetry-distinct sites (fractional):
Li1 0.000 0.000 0.000 x4
La1 0.000 0.000 0.500 x4
Tl1 0.250 0.250 0.250 x4
Hg1 0.250 0.250 0.750 x4


LaMgHg2: optimized geometry, GGA-PBE.

## Properties
Electronic total energy   -1.8958 eV/atom
Density   8.97 Mg/m³

Cell: 5.3143 5.3143 8.5427 Å, 90.00 90.00 120.00°
Space group P6_3/mmc (No. 194)
Symmetry-distinct sites (fractional):
La1 0.0000 0.0000 0.2500 x2
Mg1 0.3333 0.6667 0.2500 x2
Hg1 0.3333 0.6667 0.5719 x4


LaMgHg2: optimized geometry, GGA-PBE.

## Properties
Electronic total energy   -2.1515 eV/atom
Density   8.90 Mg/m³

Cell: 8.009 7.449 7.063 Å, 90.00 90.00 90.00°
Space group Pnma (No. 62)
Symmetry-distinct sites (fractional):
La1 0.012 0.250 0.186 x4
Mg1 0.101 0.750 0.319 x4
Hg1 0.203 0.041 0.555 x8


LaMgHg2: optimized geometry, GGA-PBE.

## Properties
Electronic total energy   -2.1626 eV/atom
Density   9.43 Mg/m³

Cell: 3.586 3.586 7.732 Å, 90.00 90.00 90.00°
Space group P4/mmm (No. 123)
Symmetry-distinct sites (fractional):
La1 0.000 0.000 0.000 x1
Mg1 0.000 0.000 0.500 x1
Hg1 0.500 0.500 0.282 x2


LaMgHg2: optimized geometry, GGA-PBE.

## Properties
Electronic total energy   -2.0663 eV/atom
Density   8.67 Mg/m³

Cell: 5.3187 5.3187 8.8256 Å, 90.00 90.00 120.00°
Space group P6_3/mmc (No. 194)
Symmetry-distinct sites (fractional):
La1 0.0000 0.0000 0.0000 x2
Mg1 0.3333 0.6667 0.2500 x2
Hg1 0.3333 0.6667 0.5922 x4


LaMgHg2: optimized geometry, GGA-PBE.

## Properties
Electronic total energy   -2.1282 eV/atom
Density   8.89 Mg/m³

Cell: 5.183 5.183 3.926 Å, 90.00 90.00 90.00°
Space group P4/mmm (No. 123)
Symmetry-distinct sites (fractional):
La1 0.000 0.000 0.000 x1
Mg1 0.500 0.500 0.000 x1
Hg1 0.000 0.500 0.500 x2


LaMgHg2: optimized geometry, GGA-PBE.

## Properties
Electronic total energy   -2.2118 eV/atom
Density   9.01 Mg/m³

Cell: 5.0049 5.0049 9.5877 Å, 90.00 90.00 120.00°
Space group P6_3/mmc (No. 194)
Symmetry-distinct sites (fractional):
La1 0.3333 0.6667 0.2500 x2
Mg1 0.0000 0.0000 0.0000 x2
Hg1 0.3333 0.6667 0.5900 x4


La3Mg3Hg2Pd: optimized geometry, GGA-PBE.

## Properties
Electronic total energy   -3.2808 eV/atom
Density   6.99 Mg/m³

Cell: 7.5967 7.5967 4.7385 Å, 90.00 90.00 120.00°
Space group P-62m (No. 189)
Symmetry-distinct sites (fractional):
La1 0.0000 0.4073 0.0000 x3
Mg1 0.0000 0.7712 0.5000 x3
Hg1 0.3333 0.6667 0.5000 x2
Pd1 0.0000 0.0000 0.0000 x1